# 1
DFT (GGA-PBE) results for a geometry-optimized TbAgSnO3 structure.

Values from the calculation:
uncorrected energy: -6.28 eV/atom
magnetization: 0.00 μB per formula unit

abc: 6.956 6.956 8.344
angles: 90.00 90.00 29.28
Sites, in units of the cell vectors:
Ag (0.331, 0.331, 0.250)
Ag (0.669, 0.669, 0.750)
O (0.392, 0.392, 0.002)
O (0.067, 0.067, 0.250)
O (0.392, 0.392, 0.498)
O (0.608, 0.608, 0.502)
O (0.933, 0.933, 0.750)
O (0.608, 0.608, 0.998)
Sn (0.665, 0.665, 0.250)
Sn (0.335, 0.335, 0.750)
Tb (0.000, 0.000, 0.000)
Tb (0.000, 0.000, 0.500)

# 2
DFT (GGA-PBE) results for a geometry-optimized AgSnTeO structure.

Values from the calculation:
uncorrected energy: -4.15 eV/atom
excess energy over the best structure of this formula in the dataset: 0.147 eV/atom

abc: 3.724 3.724 12.788
angles: 90.00 90.00 90.00
Sites, in units of the cell vectors:
Ag (0.750, 0.250, 0.000)
Ag (0.250, 0.750, 0.000)
O (0.250, 0.250, 0.436)
O (0.750, 0.750, 0.564)
Sn (0.750, 0.750, 0.401)
Sn (0.250, 0.250, 0.599)
Te (0.250, 0.250, 0.174)
Te (0.750, 0.750, 0.826)

# 3
DFT (GGA-PBE) results for a geometry-optimized Ag2SnTeO6 structure.

Values from the calculation:
uncorrected energy: -5.04 eV/atom

abc: 5.561 5.570 9.632
angles: 90.00 125.19 90.00
Sites, in units of the cell vectors:
Ag (0.246, 0.977, 0.250)
Ag (0.754, 0.477, 0.250)
Ag (0.246, 0.523, 0.750)
Ag (0.754, 0.023, 0.750)
O (0.742, 0.715, 0.046)
O (0.830, 0.201, 0.046)
O (0.652, 0.017, 0.242)
O (0.348, 0.517, 0.258)
O (0.170, 0.701, 0.454)
O (0.258, 0.215, 0.454)
O (0.742, 0.785, 0.546)
O (0.830, 0.299, 0.546)
O (0.652, 0.483, 0.742)
O (0.348, 0.983, 0.758)
O (0.170, 0.799, 0.954)
O (0.258, 0.285, 0.954)
Sn (0.000, 0.500, 0.000)
Sn (0.000, 0.000, 0.500)
Te (0.500, 0.000, 0.000)
Te (0.500, 0.500, 0.500)

# 4
DFT (GGA-PBE) results for a geometry-optimized AgSnTeO structure.

Values from the calculation:
uncorrected energy: -4.14 eV/atom
excess energy over the best structure of this formula in the dataset: 0.157 eV/atom

abc: 6.333 4.150 14.333
angles: 90.00 90.00 90.00
Sites, in units of the cell vectors:
Ag (0.199, 0.750, 0.097)
Ag (0.699, 0.750, 0.403)
Ag (0.301, 0.250, 0.597)
Ag (0.801, 0.250, 0.903)
O (0.259, 0.250, 0.201)
O (0.759, 0.250, 0.299)
O (0.241, 0.750, 0.701)
O (0.741, 0.750, 0.799)
Sn (0.589, 0.250, 0.175)
Sn (0.089, 0.250, 0.325)
Sn (0.911, 0.750, 0.675)
Sn (0.411, 0.750, 0.825)
Te (0.769, 0.750, 0.051)
Te (0.269, 0.750, 0.449)
Te (0.731, 0.250, 0.551)
Te (0.231, 0.250, 0.949)

# 5
DFT (GGA-PBE) results for a geometry-optimized AgSnTeO structure.

Values from the calculation:
uncorrected energy: -4.12 eV/atom
excess energy over the best structure of this formula in the dataset: 0.177 eV/atom

abc: 8.043 8.043 6.171
angles: 90.00 90.00 153.15
Sites, in units of the cell vectors:
Ag (0.038, 0.962, 0.387)
Ag (0.962, 0.038, 0.887)
O (0.094, 0.906, 0.010)
O (0.906, 0.094, 0.510)
Sn (0.336, 0.664, 0.494)
Sn (0.664, 0.336, 0.994)
Te (0.338, 0.662, 0.002)
Te (0.662, 0.338, 0.502)

# 6
DFT (GGA-PBE) results for a geometry-optimized AgSnTeO structure.

Values from the calculation:
uncorrected energy: -4.15 eV/atom
excess energy over the best structure of this formula in the dataset: 0.149 eV/atom

abc: 7.955 7.955 5.665
angles: 90.00 90.00 147.45
Sites, in units of the cell vectors:
Ag (0.330, 0.670, 0.485)
Ag (0.670, 0.330, 0.985)
O (0.054, 0.946, 0.027)
O (0.946, 0.054, 0.527)
Sn (0.071, 0.929, 0.392)
Sn (0.929, 0.071, 0.892)
Te (0.699, 0.301, 0.488)
Te (0.301, 0.699, 0.988)

# 7
DFT (GGA-PBE) results for a geometry-optimized AgSnTeO structure.

Values from the calculation:
uncorrected energy: -4.15 eV/atom
excess energy over the best structure of this formula in the dataset: 0.146 eV/atom

abc: 6.987 7.940 13.348
angles: 90.00 90.00 90.00
Sites, in units of the cell vectors:
Ag (0.035, 0.240, 0.071)
Ag (0.465, 0.740, 0.071)
Ag (0.535, 0.240, 0.429)
Ag (0.965, 0.740, 0.429)
Ag (0.035, 0.260, 0.571)
Ag (0.465, 0.760, 0.571)
Ag (0.535, 0.260, 0.929)
Ag (0.965, 0.760, 0.929)
O (0.055, 0.289, 0.247)
O (0.445, 0.789, 0.247)
O (0.555, 0.289, 0.253)
O (0.945, 0.789, 0.253)
O (0.055, 0.211, 0.747)
O (0.445, 0.711, 0.747)
O (0.555, 0.211, 0.753)
O (0.945, 0.711, 0.753)
Sn (0.310, 0.448, 0.240)
Sn (0.190, 0.948, 0.240)
Sn (0.810, 0.448, 0.260)
Sn (0.690, 0.948, 0.260)
Sn (0.310, 0.052, 0.740)
Sn (0.190, 0.552, 0.740)
Sn (0.810, 0.052, 0.760)
Sn (0.690, 0.552, 0.760)
Te (0.746, 0.003, 0.024)
Te (0.754, 0.503, 0.024)
Te (0.246, 0.003, 0.476)
Te (0.254, 0.503, 0.476)
Te (0.746, 0.497, 0.524)
Te (0.754, 0.997, 0.524)
Te (0.246, 0.497, 0.976)
Te (0.254, 0.997, 0.976)

# 8
DFT (GGA-PBE) results for a geometry-optimized AgSnTeO structure.

Values from the calculation:
uncorrected energy: -3.84 eV/atom
excess energy over the best structure of this formula in the dataset: 0.458 eV/atom

abc: 4.423 4.423 8.976
angles: 90.00 90.00 90.00
Sites, in units of the cell vectors:
Ag (0.250, 0.250, 0.482)
Ag (0.750, 0.750, 0.518)
O (0.750, 0.250, 0.500)
O (0.250, 0.750, 0.500)
Sn (0.750, 0.750, 0.189)
Sn (0.250, 0.250, 0.811)
Te (0.250, 0.250, 0.147)
Te (0.750, 0.750, 0.853)

# 9
DFT (GGA-PBE) results for a geometry-optimized AgSnTeO structure.

Values from the calculation:
uncorrected energy: -4.11 eV/atom
excess energy over the best structure of this formula in the dataset: 0.190 eV/atom

abc: 3.824 3.824 14.332
angles: 90.00 90.00 120.00
Sites, in units of the cell vectors:
Ag (0.000, 0.000, 0.482)
Ag (0.000, 0.000, 0.982)
O (0.000, 0.000, 0.326)
O (0.000, 0.000, 0.826)
Sn (0.333, 0.667, 0.280)
Sn (0.667, 0.333, 0.780)
Te (0.667, 0.333, 0.099)
Te (0.333, 0.667, 0.599)

# 10
DFT (GGA-PBE) results for a geometry-optimized AgSnTeO structure.

Values from the calculation:
uncorrected energy: -4.15 eV/atom
excess energy over the best structure of this formula in the dataset: 0.146 eV/atom

abc: 6.825 8.111 6.465
angles: 90.00 90.00 90.00
Sites, in units of the cell vectors:
Ag (0.832, 0.315, 0.025)
Ag (0.332, 0.685, 0.025)
Ag (0.668, 0.315, 0.525)
Ag (0.168, 0.685, 0.525)
O (0.031, 0.070, 0.123)
O (0.531, 0.930, 0.123)
O (0.469, 0.070, 0.623)
O (0.969, 0.930, 0.623)
Sn (0.168, 0.075, 0.441)
Sn (0.668, 0.925, 0.441)
Sn (0.332, 0.075, 0.941)
Sn (0.832, 0.925, 0.941)
Te (0.456, 0.364, 0.161)
Te (0.956, 0.636, 0.161)
Te (0.044, 0.364, 0.661)
Te (0.544, 0.636, 0.661)

# 11
DFT (GGA-PBE) results for a geometry-optimized AgSnTeO structure.

Values from the calculation:
uncorrected energy: -4.15 eV/atom
excess energy over the best structure of this formula in the dataset: 0.145 eV/atom

abc: 8.139 6.919 6.286
angles: 90.00 90.00 90.00
Sites, in units of the cell vectors:
Ag (0.561, 0.308, 0.065)
Ag (0.439, 0.808, 0.435)
Ag (0.939, 0.692, 0.565)
Ag (0.061, 0.192, 0.935)
O (0.347, 0.519, 0.217)
O (0.653, 0.019, 0.283)
O (0.153, 0.481, 0.717)
O (0.847, 0.981, 0.783)
Sn (0.695, 0.847, 0.009)
Sn (0.305, 0.347, 0.491)
Sn (0.805, 0.153, 0.509)
Sn (0.195, 0.653, 0.991)
Te (0.881, 0.486, 0.181)
Te (0.119, 0.986, 0.319)
Te (0.619, 0.514, 0.681)
Te (0.381, 0.014, 0.819)

# 12
DFT (GGA-PBE) results for a geometry-optimized AgSnTeO structure.

Values from the calculation:
uncorrected energy: -4.02 eV/atom
excess energy over the best structure of this formula in the dataset: 0.275 eV/atom

abc: 6.284 9.118 6.146
angles: 90.00 90.00 90.00
Sites, in units of the cell vectors:
Ag (0.251, 0.044, 0.373)
Ag (0.751, 0.956, 0.373)
Ag (0.249, 0.044, 0.873)
Ag (0.749, 0.956, 0.873)
O (0.980, 0.097, 0.123)
O (0.480, 0.903, 0.123)
O (0.520, 0.097, 0.623)
O (0.020, 0.903, 0.623)
Sn (0.959, 0.321, 0.128)
Sn (0.459, 0.679, 0.128)
Sn (0.541, 0.321, 0.628)
Sn (0.041, 0.679, 0.628)
Te (0.478, 0.317, 0.127)
Te (0.978, 0.683, 0.127)
Te (0.022, 0.317, 0.627)
Te (0.522, 0.683, 0.627)

# 13
DFT (GGA-PBE) results for a geometry-optimized AgSnTeO structure.

Values from the calculation:
uncorrected energy: -3.94 eV/atom
excess energy over the best structure of this formula in the dataset: 0.351 eV/atom

abc: 4.851 4.851 8.642
angles: 90.00 90.00 90.00
Sites, in units of the cell vectors:
Ag (0.250, 0.250, 0.328)
Ag (0.750, 0.750, 0.672)
O (0.250, 0.250, 0.076)
O (0.750, 0.750, 0.924)
Sn (0.750, 0.750, 0.147)
Sn (0.250, 0.250, 0.853)
Te (0.750, 0.250, 0.500)
Te (0.250, 0.750, 0.500)

# 14
DFT (GGA-PBE) results for a geometry-optimized AgSnTeO structure.

Values from the calculation:
uncorrected energy: -4.10 eV/atom
excess energy over the best structure of this formula in the dataset: 0.198 eV/atom

abc: 6.786 8.215 13.395
angles: 90.00 90.00 90.00
Sites, in units of the cell vectors:
Ag (0.248, 0.499, 0.183)
Ag (0.252, 0.999, 0.183)
Ag (0.748, 0.499, 0.317)
Ag (0.752, 0.999, 0.317)
Ag (0.248, 0.001, 0.683)
Ag (0.252, 0.501, 0.683)
Ag (0.748, 0.001, 0.817)
Ag (0.752, 0.501, 0.817)
O (0.251, 0.249, 0.107)
O (0.249, 0.749, 0.107)
O (0.751, 0.249, 0.393)
O (0.749, 0.749, 0.393)
O (0.251, 0.251, 0.607)
O (0.249, 0.751, 0.607)
O (0.751, 0.251, 0.893)
O (0.749, 0.751, 0.893)
Sn (0.000, 0.250, 0.000)
Sn (0.500, 0.750, 0.000)
Sn (0.500, 0.250, 0.500)
Sn (0.000, 0.750, 0.500)
Sn (0.000, 0.250, 0.500)
Sn (0.500, 0.750, 0.500)
Sn (0.500, 0.250, 0.000)
Sn (0.000, 0.750, 0.000)
Te (0.750, 0.000, 0.114)
Te (0.750, 0.500, 0.114)
Te (0.250, 0.000, 0.386)
Te (0.250, 0.500, 0.386)
Te (0.750, 0.000, 0.614)
Te (0.750, 0.500, 0.614)
Te (0.250, 0.000, 0.886)
Te (0.250, 0.500, 0.886)

# 15
DFT (GGA-PBE) results for a geometry-optimized AgSnTeO structure.

Values from the calculation:
uncorrected energy: -3.93 eV/atom
excess energy over the best structure of this formula in the dataset: 0.369 eV/atom

abc: 4.590 4.590 9.304
angles: 90.00 90.00 90.00
Sites, in units of the cell vectors:
Ag (0.750, 0.750, 0.305)
Ag (0.250, 0.250, 0.695)
O (0.750, 0.750, 0.073)
O (0.250, 0.250, 0.927)
Sn (0.250, 0.250, 0.137)
Sn (0.750, 0.750, 0.863)
Te (0.750, 0.250, 0.500)
Te (0.250, 0.750, 0.500)

# 16
DFT (GGA-PBE) results for a geometry-optimized AgSnTeO structure.

Values from the calculation:
uncorrected energy: -3.95 eV/atom
excess energy over the best structure of this formula in the dataset: 0.342 eV/atom

abc: 4.111 4.111 12.628
angles: 90.00 90.00 120.00
Sites, in units of the cell vectors:
Ag (0.333, 0.667, 0.264)
Ag (0.667, 0.333, 0.764)
O (0.000, 0.000, 0.322)
O (0.000, 0.000, 0.822)
Sn (0.000, 0.000, 0.480)
Sn (0.000, 0.000, 0.980)
Te (0.667, 0.333, 0.122)
Te (0.333, 0.667, 0.622)

# 17
DFT (GGA-PBE) results for a geometry-optimized AgSnTeO structure.

Values from the calculation:
uncorrected energy: -4.19 eV/atom
excess energy over the best structure of this formula in the dataset: 0.104 eV/atom

abc: 5.582 9.063 8.964
angles: 90.00 90.00 90.00
Sites, in units of the cell vectors:
Ag (0.231, 0.717, 0.049)
Ag (0.769, 0.217, 0.451)
Ag (0.269, 0.283, 0.549)
Ag (0.731, 0.783, 0.951)
O (0.583, 0.239, 0.080)
O (0.417, 0.739, 0.420)
O (0.917, 0.761, 0.580)
O (0.083, 0.261, 0.920)
Sn (0.232, 0.201, 0.115)
Sn (0.768, 0.701, 0.385)
Sn (0.268, 0.799, 0.615)
Sn (0.732, 0.299, 0.885)
Te (0.950, 0.922, 0.179)
Te (0.050, 0.422, 0.321)
Te (0.550, 0.078, 0.679)
Te (0.450, 0.578, 0.821)

# 18
DFT (GGA-PBE) results for a geometry-optimized AgSnTeO structure.

Values from the calculation:
uncorrected energy: -4.18 eV/atom
excess energy over the best structure of this formula in the dataset: 0.112 eV/atom

abc: 6.269 3.345 17.664
angles: 90.00 90.00 90.00
Sites, in units of the cell vectors:
Ag (0.709, 0.250, 0.207)
Ag (0.209, 0.250, 0.293)
Ag (0.791, 0.750, 0.707)
Ag (0.291, 0.750, 0.793)
O (0.246, 0.250, 0.171)
O (0.746, 0.250, 0.329)
O (0.254, 0.750, 0.671)
O (0.754, 0.750, 0.829)
Sn (0.241, 0.750, 0.099)
Sn (0.741, 0.750, 0.401)
Sn (0.259, 0.250, 0.599)
Sn (0.759, 0.250, 0.901)
Te (0.743, 0.750, 0.082)
Te (0.243, 0.750, 0.418)
Te (0.757, 0.250, 0.582)
Te (0.257, 0.250, 0.918)

# 19
DFT (GGA-PBE) results for a geometry-optimized AgSnTeO structure.

Values from the calculation:
uncorrected energy: -3.78 eV/atom
excess energy over the best structure of this formula in the dataset: 0.521 eV/atom

abc: 4.368 4.368 9.248
angles: 90.00 90.00 90.00
Sites, in units of the cell vectors:
Ag (0.750, 0.750, 0.245)
Ag (0.250, 0.250, 0.755)
O (0.750, 0.750, 0.485)
O (0.250, 0.250, 0.515)
Sn (0.750, 0.250, 0.000)
Sn (0.250, 0.750, 0.000)
Te (0.250, 0.250, 0.314)
Te (0.750, 0.750, 0.686)